(1)
Material: Sn3Bi3Pb5
Method: DFT, GGA-PBE
State: optimized geometry

Output
The formation energy comes out at 209 kJ/mol of formula units. The density of states at the Fermi level comes out at 0.51 states/eV/atom. The magnetization comes out at 0.0 μB per formula unit.

a = 10.1825 Å, b = 10.1825 Å, c = 4.3092 Å
α = 90.00°, β = 90.00°, γ = 120.00°
Last column: nearest neighbours and their distance in Å.
Space group P-62m (No. 189)
One atom of each set of equivalent atoms:
Sn (0.0000, 0.8175, 0.0000) (multiplicity 3)  2 Bi 3.07, 2 Pb 3.17, 2 Sn 3.22
Bi (0.0000, 0.6023, 0.5000) (multiplicity 3)  2 Sn 3.07, 2 Pb 3.28
Pb (0.0000, 0.3599, 0.0000) (multiplicity 3)  2 Sn 3.17, 2 Pb 3.27, 2 Bi 3.28
Pb (0.3333, 0.6667, 0.0000) (multiplicity 2)  3 Pb 3.27

(2)
Material: SnBi4Pb2
Method: DFT, GGA-PBE
State: optimized geometry

Output
The formation energy comes out at 58 kJ/mol of formula units. The density of states at the Fermi level comes out at 0.45 states/eV/atom. The magnetization comes out at 0.0 μB per formula unit.

a = 6.6176 Å, b = 12.6913 Å, c = 6.4959 Å
α = 90.00°, β = 119.38°, γ = 90.00°
Last column: nearest neighbours and their distance in Å.
Space group Cm (No. 8)
One atom of each set of equivalent atoms:
Sn (0.0000, 0.0000, 0.0000) (multiplicity 2)  5 Bi 3.18-3.46
Bi (0.0262, 0.2499, 0.9993) (multiplicity 4)  1 Sn 3.18, 2 Pb 3.26-3.38, 3 Bi 3.29-3.31
Bi (0.0537, 0.5000, 0.4211) (multiplicity 2)  2 Bi 3.14-3.45, 2 Pb 3.23, 2 Sn 3.33-3.46
Bi (0.4578, 0.0000, 0.8497) (multiplicity 2)  4 Bi 3.14-3.45, 1 Sn 3.22, 2 Pb 3.50
Pb (0.4721, 0.3432, 0.5075) (multiplicity 4)  4 Bi 3.23-3.50

(3)
Material: SnBi2Pb5
Method: DFT, GGA-PBE
State: optimized geometry

Output
The formation energy comes out at 71 kJ/mol of formula units. The energy above the most stable polymorph in this dataset comes out at 48.1 meV/atom. The density of states at the Fermi level comes out at 0.52 states/eV/atom. The magnetization comes out at 0.0 μB per formula unit.

a = 3.2443 Å, b = 24.4735 Å, c = 13.4767 Å
α = 90.00°, β = 90.00°, γ = 90.00°
Last column: nearest neighbours and their distance in Å.
Space group Cmcm (No. 63)
One atom of each set of equivalent atoms:
Sn (0.0000, 0.1580, 0.2500) (multiplicity 4)  6 Pb 3.18-3.39, 2 Sn 3.24
Bi (0.0000, 0.0849, 0.6275) (multiplicity 8)  3 Bi 3.24-3.30, 3 Pb 3.27-3.34
Pb (0.0000, 0.0484, 0.1117) (multiplicity 8)  2 Pb 3.24, 1 Sn 3.27, 2 Bi 3.27-3.34
Pb (0.0000, 0.1903, 0.0212) (multiplicity 8)  1 Sn 3.18, 4 Pb 3.24-3.39, 1 Bi 3.27
Pb (0.0000, 0.2204, 0.7500) (multiplicity 4)  2 Pb 3.24, 2 Sn 3.39

(4)
Material: Sn2BiPb6
Method: DFT, GGA-PBE
State: optimized geometry

Output
The formation energy comes out at 38 kJ/mol of formula units. The energy above the most stable polymorph in this dataset comes out at 12.1 meV/atom. The density of states at the Fermi level comes out at 0.45 states/eV/atom. The magnetization comes out at 0.0 μB per formula unit.

a = 16.0281 Å, b = 11.5717 Å, c = 6.0571 Å
α = 90.00°, β = 96.58°, γ = 90.00°
Last column: nearest neighbours and their distance in Å.
Space group C2/c (No. 15)
One atom of each set of equivalent atoms:
Sn (0.1700, 0.1235, 0.0972) (multiplicity 8)  9 Pb 3.33-3.59
Bi (0.0000, 0.3749, 0.2500) (multiplicity 4)  10 Pb 3.40-3.64
Pb (0.0543, 0.1241, 0.5234) (multiplicity 8)  4 Sn 3.35-3.75, 5 Pb 3.35-3.56, 1 Bi 3.40
Pb (0.1128, 0.3700, 0.8073) (multiplicity 8)  5 Pb 3.40-3.60, 3 Bi 3.40-3.64, 2 Sn 3.42-3.46
Pb (0.2266, 0.3738, 0.3498) (multiplicity 8)  4 Sn 3.33-3.56, 5 Pb 3.43-3.57, 1 Bi 3.61

(5)
Material: SnBi2Pb5
Method: DFT, GGA-PBE
State: optimized geometry

Output
The formation energy comes out at 34 kJ/mol of formula units. The energy above the most stable polymorph in this dataset comes out at 0.0 meV/atom. The density of states at the Fermi level comes out at 0.52 states/eV/atom. The magnetization comes out at 0.0 μB per formula unit.

a = 7.1765 Å, b = 11.8054 Å, c = 6.9078 Å
α = 90.00°, β = 121.29°, γ = 90.00°
Last column: nearest neighbours and their distance in Å.
Space group Cm (No. 8)
One atom of each set of equivalent atoms:
Sn (0.0000, 0.0000, 0.0000) (multiplicity 2)  10 Pb 3.45-3.60
Bi (0.2486, 0.2500, 0.4987) (multiplicity 4)  8 Pb 3.45-3.46, 2 Bi 3.59
Pb (0.9997, 0.5000, 0.5002) (multiplicity 2)  4 Bi 3.45-3.46, 2 Sn 3.45, 4 Pb 3.45-3.59
Pb (0.2489, 0.2503, 0.9988) (multiplicity 4)  4 Bi 3.45-3.46, 2 Sn 3.45, 4 Pb 3.45-3.59
Pb (0.4989, 0.0000, 0.9997) (multiplicity 2)  8 Pb 3.45-3.46, 2 Sn 3.58-3.60
Pb (0.4991, 0.5000, 0.4991) (multiplicity 2)  2 Sn 3.45-3.46, 4 Pb 3.45-3.59, 4 Bi 3.45

(6)
Material: SnBi6Pb12
Method: DFT, GGA-PBE
State: optimized geometry

Output
The formation energy comes out at 199 kJ/mol of formula units. The energy above the most stable polymorph in this dataset comes out at 36.1 meV/atom. The density of states at the Fermi level comes out at 0.40 states/eV/atom. The magnetization comes out at 0.0 μB per formula unit.

a = 13.5574 Å, b = 13.5574 Å, c = 14.0611 Å
α = 90.00°, β = 90.00°, γ = 120.00°
Last column: nearest neighbours and their distance in Å.
Space group R-3 (No. 148, hexagonal axes)
One atom of each set of equivalent atoms:
Sn (0.0000, 0.0000, 0.0000) (multiplicity 3)  6 Pb 3.12
Bi (0.0558, 0.2335, 0.6728) (multiplicity 18)  7 Pb 3.26-3.38
Pb (0.0345, 0.2270, 0.9127) (multiplicity 18)  1 Sn 3.12, 3 Bi 3.26-3.38
Pb (0.0594, 0.2430, 0.4325) (multiplicity 18)  4 Bi 3.26-3.38, 3 Pb 3.53-3.54

(7)
Material: Sn2Bi2Pb
Method: DFT, GGA-PBE
State: optimized geometry

Output
The formation energy comes out at 94 kJ/mol of formula units. The energy above the most stable polymorph in this dataset comes out at 141.0 meV/atom. The density of states at the Fermi level comes out at 0.70 states/eV/atom. The magnetization comes out at 0.0 μB per formula unit.

a = 4.5978 Å, b = 4.5978 Å, c = 15.6703 Å
α = 90.00°, β = 90.00°, γ = 90.00°
Last column: nearest neighbours and their distance in Å.
Space group I4/mmm (No. 139)
One atom of each set of equivalent atoms:
Sn (0.0000, 0.0000, 0.0953) (multiplicity 4)  1 Sn 2.99, 4 Bi 3.34
Bi (0.0000, 0.5000, 0.2500) (multiplicity 4)  4 Bi 3.25, 4 Sn 3.34
Pb (0.0000, 0.0000, 0.5000) (multiplicity 2)  8 Sn 3.58

(8)
Material: SnBi6Pb9
Method: DFT, GGA-PBE
State: optimized geometry

Output
The formation energy comes out at 50 kJ/mol of formula units. The density of states at the Fermi level comes out at 0.39 states/eV/atom. The magnetization comes out at 0.0 μB per formula unit.

a = 8.8111 Å, b = 8.8111 Å, c = 13.2843 Å
α = 90.00°, β = 90.00°, γ = 90.00°
Last column: nearest neighbours and their distance in Å.
Space group I4/m (No. 87)
One atom of each set of equivalent atoms:
Sn (0.0000, 0.0000, 0.0000) (multiplicity 2)  6 Bi 3.25-3.26
Bi (0.0000, 0.0000, 0.2445) (multiplicity 4)  1 Sn 3.25, 5 Pb 3.39-3.48
Bi (0.1449, 0.6597, 0.0000) (multiplicity 8)  1 Sn 3.26, 7 Pb 3.30-3.43
Pb (0.0000, 0.0000, 0.5000) (multiplicity 2)  6 Bi 3.39-3.43
Pb (0.1350, 0.6576, 0.3400) (multiplicity 16)  5 Bi 3.30-3.68, 4 Pb 3.52-3.66

(9)
Material: SnBi3Pb3
Method: DFT, GGA-PBE
State: optimized geometry

Output
The formation energy comes out at 50 kJ/mol of formula units. The energy above the most stable polymorph in this dataset comes out at 0.0 meV/atom. The density of states at the Fermi level comes out at 0.52 states/eV/atom. The magnetization comes out at 0.0 μB per formula unit.

a = 9.2522 Å, b = 9.2522 Å, c = 18.7133 Å
α = 90.00°, β = 90.00°, γ = 120.00°
Last column: nearest neighbours and their distance in Å.
Space group R-3 (No. 148, hexagonal axes)
One atom of each set of equivalent atoms:
Sn (0.0000, 0.0000, 0.1894) (multiplicity 6)  6 Bi 3.31-3.39, 3 Pb 3.65
Bi (0.0302, 0.5907, 0.5977) (multiplicity 18)  4 Pb 3.29-3.56, 2 Sn 3.31-3.39, 2 Bi 3.61
Pb (0.0325, 0.7925, 0.4243) (multiplicity 18)  4 Bi 3.29-3.56, 4 Pb 3.52-3.61, 1 Sn 3.65

(10)
Material: SnBiPb3
Method: DFT, GGA-PBE
State: optimized geometry

Output
The formation energy comes out at 10 kJ/mol of formula units. The energy above the most stable polymorph in this dataset comes out at 0.0 meV/atom. The density of states at the Fermi level comes out at 0.36 states/eV/atom. The magnetization comes out at 0.0 μB per formula unit.

a = 6.0529 Å, b = 5.8656 Å, c = 9.1276 Å
α = 90.00°, β = 108.66°, γ = 90.00°
Last column: nearest neighbours and their distance in Å.
Space group P2_1/m (No. 11)
One atom of each set of equivalent atoms:
Sn (0.2302, 0.2500, 0.3023) (multiplicity 2)  3 Bi 3.41-3.57, 9 Pb 3.44-3.57
Bi (0.4341, 0.2500, 0.6962) (multiplicity 2)  9 Pb 3.40-3.55, 3 Sn 3.41-3.57
Pb (0.0322, 0.2500, 0.9042) (multiplicity 2)  3 Sn 3.44-3.57, 7 Pb 3.48-3.59, 2 Bi 3.51-3.53
Pb (0.1700, 0.7500, 0.4976) (multiplicity 2)  4 Bi 3.40-3.55, 4 Pb 3.44-3.59, 4 Sn 3.47-3.51
Pb (0.3699, 0.7500, 0.8947) (multiplicity 2)  7 Pb 3.44-3.59, 2 Sn 3.45-3.50, 3 Bi 3.53-3.54

(11)
Material: Sn3Bi3Pb
Method: DFT, GGA-PBE
State: optimized geometry

Output
The formation energy comes out at 288 kJ/mol of formula units. The density of states at the Fermi level comes out at 0.78 states/eV/atom. The magnetization comes out at 0.8 μB per formula unit.

a = 8.4932 Å, b = 8.4932 Å, c = 8.4932 Å
α = 90.00°, β = 90.00°, γ = 90.00°
Last column: nearest neighbours and their distance in Å.
Space group Pm-3n (No. 223)
One atom of each set of equivalent atoms:
Sn (0.0000, 0.2500, 0.5000) (multiplicity 6)  4 Bi 3.00
Bi (0.0000, 0.5000, 0.2500) (multiplicity 6)  4 Sn 3.00
Pb (0.0000, 0.0000, 0.0000) (multiplicity 2)  12 Sn 4.75, 12 Bi 4.75

(12)
Material: Sn2BiPb4
Method: DFT, GGA-PBE
State: optimized geometry

Output
The formation energy comes out at 112 kJ/mol of formula units. The energy above the most stable polymorph in this dataset comes out at 61.7 meV/atom. The density of states at the Fermi level comes out at 0.60 states/eV/atom. The magnetization comes out at 0.0 μB per formula unit.

a = 9.1023 Å, b = 9.1023 Å, c = 5.8336 Å
α = 90.00°, β = 90.00°, γ = 90.00°
Last column: nearest neighbours and their distance in Å.
Space group P4_2/mnm (No. 136)
One atom of each set of equivalent atoms:
Sn (0.2433, 0.2433, 0.0000) (multiplicity 4)  1 Bi 3.30, 6 Pb 3.34-3.37
Bi (0.0000, 0.0000, 0.5000) (multiplicity 2)  2 Sn 3.30, 4 Pb 3.34
Pb (0.1013, 0.3532, 0.5000) (multiplicity 8)  2 Pb 3.24-3.25, 3 Sn 3.34-3.37, 1 Bi 3.34